Entry 1:
TcH2IO: single point on PBEsol structure, SCAN.

Cell lengths 4.0957, 4.0957, 3.6667 Å; angles 90.00, 90.00, 90.00 degrees
Closest atoms and distances in Å follow each position.
Element x y z (fractional)
Tc (0.0000, 0.0000, 0.0000)  2 O 1.83, 4 H 2.05
H (0.0000, 0.5000, 0.0000)  2 Tc 2.05
H (0.5000, 0.0000, 0.0000)  2 Tc 2.05
I (0.5000, 0.5000, 0.5000)  8 H 2.75, 4 O 2.90
O (0.0000, 0.0000, 0.5000)  2 Tc 1.83

Calculated values
Total magnetic moment (μB per atom): 0.000
Volume (Å³/cell): 62
DFT total energy (eV/atom): -16.537
Mass density (g/cm3): 6.6

Entry 2:
MgZnAg: single point on PBEsol structure, SCAN.

Cell lengths 4.4878, 4.4878, 2.9150 Å; angles 90.00, 90.00, 120.00 degrees
Closest atoms and distances in Å follow each position.
Element x y z (fractional)
Mg (0.0000, 0.0000, 0.0000)  2 Mg 2.92, 6 Ag 2.97, 6 Zn 2.97
Zn (0.3333, 0.6667, 0.5000)  3 Ag 2.59
Ag (0.6667, 0.3333, 0.5000)  3 Zn 2.59

Calculated values
Total magnetic moment (μB per atom): 0.000
Volume (Å³/cell): 51
DFT total energy (eV/atom): -16.783
Energy of formation (eV per atom): -0.16
Energy relative to the lowest polymorph listed for this composition (eV per atom): 0.007
Mass density (g/cm3): 6.5

Entry 3:
LaBeSiPd2: single point on PBEsol structure, SCAN.

Cell lengths 5.0040, 5.0040, 4.9913 Å; angles 90.00, 90.00, 90.00 degrees
Closest atoms and distances in Å follow each position.
Element x y z (fractional)
La (0.0000, 0.0000, 0.0000)  2 Be 2.50, 4 Pd 2.50
Be (0.0000, 0.0000, 0.5000)  2 La 2.50
Si (0.5000, 0.5000, 0.5000)  8 Pd 3.53, 4 Be 3.54
Pd (0.0000, 0.5000, 0.0000)  2 La 2.50
Pd (0.5000, 0.0000, 0.0000)  2 La 2.50

Calculated values
Total magnetic moment (μB per atom): 0.000
Volume (Å³/cell): 125
DFT total energy (eV/atom): -23.171
E_form (uncorrected) (meV per atom): 1433
Mass density (g/cm3): 5.2

Entry 4:
Gd2P4O13: single point on PBEsol structure, SCAN.

Cell lengths 9.4635, 9.4635, 8.6431 Å; angles 90.00, 90.00, 135.94 degrees
Closest atoms and distances in Å follow each position.
Element x y z (fractional)
Gd (0.1028, 0.3951, 0.3535)  6 O 2.24-2.40
Gd (0.3951, 0.1028, 0.6465)  6 O 2.24-2.40
Gd (0.6049, 0.8972, 0.1465)  6 O 2.24-2.40
Gd (0.8972, 0.6049, 0.8535)  6 O 2.24-2.40
P (0.1003, 0.4193, 0.9989)  4 O 1.50-1.62
P (0.1487, 0.2766, 0.7275)  4 O 1.49-1.60
P (0.2766, 0.1487, 0.2725)  4 O 1.49-1.60
P (0.4193, 0.1003, 0.0011)  4 O 1.50-1.62
P (0.5807, 0.8997, 0.5011)  4 O 1.50-1.62
P (0.7234, 0.8513, 0.7725)  4 O 1.49-1.60
P (0.8513, 0.7234, 0.2275)  4 O 1.49-1.60
P (0.8997, 0.5807, 0.4989)  4 O 1.50-1.62
O (0.0292, 0.4846, 0.8935)  1 P 1.50
O (0.0688, 0.7714, 0.5967)  1 P 1.54
O (0.0897, 0.9103, 0.2500)  2 P 1.59
O (0.1761, 0.4058, 0.6042)  1 P 1.50
O (0.2104, 0.3790, 0.8942)  2 P 1.60-1.62
O (0.2110, 0.2513, 0.2944)  1 P 1.49
O (0.2286, 0.9312, 0.9033)  1 P 1.54
O (0.2513, 0.2110, 0.7056)  1 P 1.49
O (0.2646, 0.5792, 0.1165)  1 P 1.54
O (0.3790, 0.2104, 0.1058)  2 P 1.60-1.62
O (0.4058, 0.1761, 0.3958)  1 P 1.50
O (0.4208, 0.7354, 0.3835)  1 P 1.54
O (0.4846, 0.0292, 0.1065)  1 P 1.50
O (0.5154, 0.9708, 0.6065)  1 P 1.50
O (0.5792, 0.2646, 0.8835)  1 P 1.54
O (0.5942, 0.8239, 0.8958)  1 P 1.50
O (0.6210, 0.7896, 0.6058)  2 P 1.60-1.62
O (0.7354, 0.4208, 0.6165)  1 P 1.54
O (0.7487, 0.7890, 0.2056)  1 P 1.49
O (0.7714, 0.0688, 0.4033)  1 P 1.54
O (0.7890, 0.7487, 0.7944)  1 P 1.49
O (0.7896, 0.6210, 0.3942)  2 P 1.60-1.62
O (0.8239, 0.5942, 0.1042)  1 P 1.50
O (0.9103, 0.0897, 0.7500)  2 P 1.59
O (0.9312, 0.2286, 0.0967)  1 P 1.54
O (0.9708, 0.5154, 0.3935)  1 P 1.50

Calculated values
Total magnetic moment (μB per atom): 0.734
Volume (Å³/cell): 538
DFT total energy (eV/atom): -15.570
Energy relative to the lowest polymorph listed for this composition (eV per atom): 0.000
E_form (uncorrected) (meV per atom): -2926
Mass density (g/cm3): 4.0

Entry 5:
TiCo3B: single point on PBEsol structure, SCAN.

Cell lengths 3.7355, 3.7355, 3.7355 Å; angles 90.00, 90.00, 90.00 degrees
Closest atoms and distances in Å follow each position.
Element x y z (fractional)
Ti (0.0000, 0.0000, 0.0000)  12 Co 2.64
Co (0.0000, 0.5000, 0.5000)  2 B 1.87
Co (0.5000, 0.0000, 0.5000)  2 B 1.87
Co (0.5000, 0.5000, 0.0000)  2 B 1.87
B (0.5000, 0.5000, 0.5000)  6 Co 1.87

Calculated values
Total magnetic moment (μB per atom): 0.000
Volume (Å³/cell): 52
DFT total energy (eV/atom): -15.279
Energy of formation (eV per atom): -0.20
Mass density (g/cm3): 7.5

Entry 6:
NaNiS2N: single point on PBEsol structure, SCAN.

Cell lengths 4.7933, 4.7933, 4.0883 Å; angles 90.00, 90.00, 90.00 degrees
Closest atoms and distances in Å follow each position.
Element x y z (fractional)
Na (0.0000, 0.0000, 0.0000)  2 N 2.04
Ni (0.5000, 0.5000, 0.5000)  8 S 3.15, 4 N 3.39
S (0.0000, 0.5000, 0.0000)  2 Na 2.40
S (0.5000, 0.0000, 0.0000)  2 Na 2.40
N (0.0000, 0.0000, 0.5000)  2 Na 2.04

Calculated values
Total magnetic moment (μB per atom): 1.119
Volume (Å³/cell): 94
DFT total energy (eV/atom): -8.169
E_form (uncorrected) (meV per atom): 1618
Mass density (g/cm3): 2.8

Entry 7:
AlSe3: single point on PBEsol structure, SCAN.

Cell lengths 5.7887, 5.7887, 5.7887 Å; angles 143.76, 62.22, 131.27 degrees
Closest atoms and distances in Å follow each position.
Element x y z (fractional)
Al (0.0000, 0.0000, 0.0000)  6 Se 2.57-2.58
Se (0.0008, 0.3339, 0.6669)  2 Al 2.57, 1 Se 2.70
Se (0.3879, 0.8879, 0.5000)  2 Al 2.58, 2 Se 2.70
Se (0.6670, 0.3339, 0.3331)  2 Al 2.57, 1 Se 2.70

Calculated values
Total magnetic moment (μB per atom): 0.000
Volume (Å³/cell): 85
DFT total energy (eV/atom): -17.177
Energy relative to the lowest polymorph listed for this composition (eV per atom): 0.000
E_form (uncorrected) (meV per atom): -181
Mass density (g/cm3): 5.1

Entry 8:
YAl2Te: single point on PBEsol structure, SCAN.

Cell lengths 5.9257, 5.9257, 5.9257 Å; angles 138.86, 138.86, 59.59 degrees
Closest atoms and distances in Å follow each position.
Element x y z (fractional)
Y (0.0000, 0.0000, 0.0000)  4 Te 2.94
Al (0.2500, 0.7500, 0.5000)  4 Al 2.94
Al (0.7500, 0.2500, 0.5000)  4 Al 2.94
Te (0.5000, 0.5000, 0.0000)  4 Y 2.94

Calculated values
Total magnetic moment (μB per atom): 0.000
Volume (Å³/cell): 89
DFT total energy (eV/atom): -20.569
E_form (uncorrected) (meV per atom): -420
Mass density (g/cm3): 5.0

> Look up the mass density of the eighth one.

5.0 g/cm3

> Among the records above, which one has the lowest volume?

MgZnAg

> Look up the mass density of the seventh one.

5.1 g/cm3

What did the first record say?
TcH2IO: single point on PBEsol structure, SCAN.

Cell lengths 4.0957, 4.0957, 3.6667 Å; angles 90.00, 90.00, 90.00 degrees
Closest atoms and distances in Å follow each position.
Element x y z (fractional)
Tc (0.0000, 0.0000, 0.0000)  2 O 1.83, 4 H 2.05
H (0.0000, 0.5000, 0.0000)  2 Tc 2.05
H (0.5000, 0.0000, 0.0000)  2 Tc 2.05
I (0.5000, 0.5000, 0.5000)  8 H 2.75, 4 O 2.90
O (0.0000, 0.0000, 0.5000)  2 Tc 1.83

Calculated values
Total magnetic moment (μB per atom): 0.000
Volume (Å³/cell): 62
DFT total energy (eV/atom): -16.537
Mass density (g/cm3): 6.6